No. 1
A relaxed CsScGe2 crystal, computed with PBE.

a = 5.345 Å, b = 5.345 Å, c = 5.345 Å
α = 60.00°, β = 60.00°, γ = 60.00°
Positions (direct):
Ge  0.750  0.750  0.750
Ge  0.250  0.250  0.250
Cs  0.500  0.500  0.500
Sc  0.000  0.000  0.000

Properties
Its energy above the lowest structure with this stoichiometry is 1.25 eV/f.u. Its space-group type is Fm-3m, No. 225. The density of states at the Fermi level is 3.0 states/eV/cell. For the total energy, the calculation gives -3.73 eV/atom.


No. 2
A relaxed BeAlSb2 crystal, computed with PBE.

a = 4.904 Å, b = 4.904 Å, c = 4.196 Å
α = 74.47°, β = 74.47°, γ = 103.49°
Positions (direct):
Sb  0.000  0.000  0.000
Sb  0.500  0.500  0.000
Al  0.500  0.000  0.500
Be  0.000  0.500  0.500

Properties
Its energy above the lowest structure with this stoichiometry is 1.36 eV/f.u. As for the uncorrected formation energy: 163 kJ/mol of formula units. Its space-group type is C2/m, No. 12. The density of states at the Fermi level is 1.6 states/eV/cell. For the total energy, the calculation gives -3.51 eV/atom.


No. 3
A relaxed Tm7TlPd4 crystal, computed with PBE.

a = 5.549 Å, b = 8.411 Å, c = 7.366 Å
α = 74.32°, β = 67.87°, γ = 70.74°
Positions (direct):
Tm  0.688  0.367  0.258
Tm  0.070  0.625  0.236
Tm  0.930  0.375  0.764
Tm  0.500  0.000  0.000
Tm  0.788  0.880  0.544
Tm  0.312  0.633  0.742
Tm  0.212  0.120  0.456
Pd  0.298  0.341  0.062
Pd  0.702  0.659  0.938
Pd  0.564  0.229  0.644
Pd  0.436  0.771  0.356
Tl  0.000  0.000  0.000

Properties
Its space-group type is C2/m, No. 12. The density of states at the Fermi level is 9.4 states/eV/cell. For the total energy, the calculation gives -5.00 eV/atom.